# PBE TcNiP, optimized geometry
data_TcNiP
_chemical_formula_sum 'Tc4 Ni4 P4'
_symmetry_space_group_name_H-M 'F -4 3 m'
_symmetry_Int_Tables_number 216
_symmetry_space_group_name_Hall 'F -4 2 3'
_cell_length_a 5.4344
_cell_length_b 5.4344
_cell_length_c 5.4344
_cell_angle_alpha 90.00
_cell_angle_beta 90.00
_cell_angle_gamma 90.00
loop_
_atom_site_label
_atom_site_type_symbol
_atom_site_fract_x
_atom_site_fract_y
_atom_site_fract_z
Tc1 Tc 0.0000 0.0000 0.0000
Ni1 Ni 0.0000 0.0000 0.5000
P1 P 0.2500 0.2500 0.2500
# V, A^3/atom: 13.37
# D(E_F), states/eV/f.u.: 2.3
# E above lowest polymorph, meV per atom: 59
# Energy of formation from the pure elements, eV/atom: -0.443
# ρ, Mg/m³: 7.77